Record 1
SrZrPt2 | GGA-PBEsol | optimized geometry

Properties
The value obtained for the energy above the lowest structure with this stoichiometry is 0.222 eV per atom. The density comes out at 11.8 Mg/m³.

Cell lengths 5.1075, 5.1075, 3.0602 Å; angles 90.00, 90.00, 90.00 degrees
Space group P4/mmm (No. 123)
Inequivalent atoms, fractional coordinates:
Sr 0.0000 0.0000 0.0000
Zr 0.5000 0.5000 0.0000
Pt 0.0000 0.5000 0.5000

Record 2
HgAs2I2 | GGA-PBEsol | optimized geometry

Properties
The calculation puts the total DFT energy (no corrections) at -2.4174 eV per atom. The density comes out at 7.1 Mg/m³.

Cell lengths 8.8616, 8.8616, 3.5762 Å; angles 90.00, 90.00, 90.00 degrees
Space group P4/mbm (No. 127)
Inequivalent atoms, fractional coordinates:
Hg 0.0000 0.0000 0.0000
As 0.0992 0.4008 0.5000
I 0.1740 0.6740 0.0000

Record 3
TaTlRu2Pt | GGA-PBEsol | optimized geometry

Properties
The calculation puts the total DFT energy (no corrections) at -6.7513 eV per atom. The density comes out at 11.9 Mg/m³.

Cell lengths 4.5754, 4.5754, 5.2254 Å; angles 90.00, 90.00, 90.00 degrees
Space group P4/mmm (No. 123)
Inequivalent atoms, fractional coordinates:
Ta 0.0000 0.0000 0.0000
Tl 0.0000 0.0000 0.5000
Ru 0.0000 0.5000 0.0000
Pt 0.5000 0.5000 0.5000

Record 4
AlSi2Tc | GGA-PBEsol | optimized geometry

Properties
The calculation puts the total DFT energy (no corrections) at -6.7488 eV per atom. The density comes out at 5.6 Mg/m³.

Cell lengths 3.1046, 4.0644, 4.2534 Å; angles 90.00, 90.00, 90.00 degrees
Space group Pmmm (No. 47)
Inequivalent atoms, fractional coordinates:
Al 0.0000 0.0000 0.0000
Si 0.0000 0.5000 0.5000
Si 0.5000 0.5000 0.0000
Tc 0.5000 0.0000 0.5000

Record 5
Sr3LiAs2H | GGA-PBEsol | optimized geometry

Properties
The calculation puts the total DFT energy (no corrections) at -4.0108 eV per atom. The density comes out at 4.2 Mg/m³.

Cell lengths 11.9693, 4.4376, 12.4289 Å; angles 90.00, 90.00, 90.00 degrees
Space group Pnma (No. 62)
Inequivalent atoms, fractional coordinates:
Sr 0.0616 0.2500 0.1217
Sr 0.1308 0.7500 0.5612
Sr 0.2060 0.2500 0.7980
Li 0.1352 0.2500 0.3583
As 0.0248 0.7500 0.3235
As 0.1882 0.7500 0.9872
H 0.2373 0.2500 0.2259

Record 6
Cu3Pt2 | GGA-PBEsol | optimized geometry

Properties
The value obtained for the energy above the lowest structure with this stoichiometry is 0.062 eV per atom. The density comes out at 14.8 Mg/m³.

Cell lengths 8.8368, 12.6812, 4.6415 Å; angles 90.00, 90.00, 90.00 degrees
Space group Fdd2 (No. 43)
Inequivalent atoms, fractional coordinates:
Cu 0.0000 0.0000 0.0000
Cu 0.0335 0.4021 0.0335
Pt 0.0239 0.3021 0.5545